one:
Density functional theory data (PBE) for a geometry-optimized SbTe2PbSe structure.

space group	P4/mmm, No. 123
spin magnetization	1.0	μB per formula unit

Lattice parameters (Å, degrees): 5.7803 5.7803 5.9532 90.00 90.00 90.00
Fractional positions:
Sb1 0.0000 0.0000 0.0000
Te1 0.0000 0.5000 0.5000
Te2 0.5000 0.0000 0.5000
Pb1 0.0000 0.0000 0.5000
Se1 0.5000 0.5000 0.0000


two:
Density functional theory data (PBE) for a geometry-optimized SbTe2PbSe structure.

space group	P4/mmm, No. 123
spin magnetization	0.0	μB per formula unit

Lattice parameters (Å, degrees): 5.4854 5.4854 5.4885 90.00 90.00 90.00
Fractional positions:
Sb1 0.0000 0.0000 0.0000
Te1 0.0000 0.5000 0.5000
Te2 0.5000 0.0000 0.5000
Pb1 0.5000 0.5000 0.0000
Se1 0.0000 0.0000 0.5000


Which of the structures shown above is the most stable? The most stable is two.